# 1
RbMn3Rh: relaxed, PBE.

Cell lengths 4.3157, 4.3157, 4.3157 Å; angles 90.00, 90.00, 90.00 degrees
Last column: nearest neighbours and their distance in Å.
Space group Pm-3m (No. 221)
Symmetry-distinct sites (fractional):
Rb1 0.0000 0.0000 0.0000 [1 per cell]  6 Mn 2.16
Mn1 0.0000 0.0000 0.5000 [3 per cell]  2 Rb 2.16
Rh1 0.5000 0.5000 0.5000 [1 per cell]  12 Mn 3.05

E above lowest polymorph (meV per atom): 2292
Calculated volume (Å³/atom): 16.1
Formation enthalpy at 0 K (eV per atom): 3.059

# 2
ScNiN2: relaxed, PBE.

Cell lengths 5.3511, 5.3511, 5.3511 Å; angles 90.00, 90.00, 90.00 degrees
Last column: nearest neighbours and their distance in Å.
Space group Fm-3m (No. 225)
Symmetry-distinct sites (fractional):
Sc1 0.0000 0.0000 0.0000 [4 per cell]  8 N 2.32
Ni1 0.0000 0.0000 0.5000 [4 per cell]  8 N 2.32
N1 0.2500 0.2500 0.2500 [8 per cell]  4 Ni 2.32, 4 Sc 2.32

E above lowest polymorph (meV per atom): 454
Calculated volume (Å³/atom): 9.6
Raw formation energy (eV per atom): 0.03